The following is a DFT calculation (PBE) of crystalline CsTl8Sb4 at its relaxed geometry.

```
13
Lattice="0.710 0.560 6.546 -1.264 -7.638 4.125 8.271 -1.415 2.560" Properties=species:S:1:pos:R:3 pbc="T T T"
Tl 1.666 -1.722 3.302
Tl 2.123 -5.428 3.569
Tl 4.770 -5.639 6.636
Tl 4.884 -3.625 3.116
Tl 1.077 -6.062 7.072
Tl 6.050 -6.771 9.930
Tl 2.946 -2.855 6.596
Tl 6.640 -2.431 6.159
Sb -0.277 -3.539 5.336
Sb 4.490 -0.428 4.553
Sb -0.632 -3.819 2.063
Sb 4.135 -0.708 1.280
Cs 0.000 0.000 0.000
```

Properties
Total magnetic moment in μB per cell: 0.0
Volume in Å³/atom: 33.57
Fermi-level density of states in states/eV per atom: 0.67
Calculated density in g/cm3: 8.580
Symmetry: I4/mmm

---

The following is a DFT calculation (PBE) of crystalline CsTl12Sb6 at its relaxed geometry.

```
19
Lattice="-0.742 7.786 -5.082 0.324 -7.135 -5.998 -7.939 -0.863 4.818" Properties=species:S:1:pos:R:3 pbc="T T T"
Tl -1.436 3.189 -6.903
Tl -1.030 -2.496 -7.252
Tl -5.045 1.802 -4.900
Tl -6.921 -3.402 0.642
Tl -3.576 1.676 -1.136
Tl -4.782 -1.888 -5.126
Tl -3.773 -5.792 -3.480
Tl -3.312 -2.015 -1.362
Tl -7.328 2.284 0.991
Tl -1.532 0.125 -3.811
Tl -4.585 5.580 -2.782
Tl -6.826 -0.337 -2.451
Sb -2.499 0.242 -6.847
Sb -2.040 -3.353 -4.412
Sb -5.825 -3.754 -2.273
Sb -5.858 -0.454 0.586
Sb -6.317 3.140 -1.850
Sb -2.532 3.542 -3.989
Cs 0.000 0.000 0.000
```

Properties
Total magnetic moment in μB per cell: 0.0
Volume in Å³/atom: 35.64
Fermi-level density of states in states/eV per atom: 0.48
Calculated density in g/cm3: 8.131
Symmetry: R-3m

---

The following is a DFT calculation (PBE) of crystalline CsTlSb at its relaxed geometry.

```
6
Lattice="4.840 0.093 -0.014 0.124 7.785 -1.104 -2.475 -2.907 7.554" Properties=species:S:1:pos:R:3 pbc="T T T"
Sb 3.122 0.050 4.639
Sb 2.914 4.972 3.852
Cs 0.601 2.750 6.474
Cs 0.595 2.179 2.031
Tl 0.539 -1.238 6.553
Tl 0.657 6.167 1.952
```

Properties
Total magnetic moment in μB per cell: 0.0
Volume in Å³/atom: 44.83
Fermi-level density of states in states/eV per atom: 0.02
Calculated density in g/cm3: 5.667
Symmetry: P-1
Polymorph energy (0 for the lowest one) in eV per atom: 0.0000

---

The following is a DFT calculation (PBE) of crystalline Cs2Tl2Sb at its relaxed geometry.

```
10
Lattice="8.296 0.000 0.000 -4.148 6.286 -2.130 0.000 -0.064 8.663" Properties=species:S:1:pos:R:3 pbc="T T T"
Sb 6.684 -0.048 6.497
Sb 1.612 -0.016 2.166
Tl 3.107 5.214 -1.288
Tl -3.107 5.182 3.043
Tl 7.255 1.040 3.489
Tl 1.041 1.008 7.821
Cs 3.589 2.125 4.834
Cs 4.706 2.157 0.503
Cs -0.559 4.065 6.030
Cs 0.559 4.097 1.699
```

Properties
Total magnetic moment in μB per cell: 0.0
Volume in Å³/atom: 45.07
Fermi-level density of states in states/eV per atom: 0.58
Calculated density in g/cm3: 5.869
Symmetry: C2/c
Polymorph energy (0 for the lowest one) in eV per atom: 0.0000

---

The following is a DFT calculation (PBE) of crystalline CsTlSb at its relaxed geometry.

```
18
Lattice="-6.939 -3.347 -3.030 1.486 -8.777 -5.018 -3.764 -7.597 5.703" Properties=species:S:1:pos:R:3 pbc="T T T"
Tl -3.808 -3.705 -1.462
Tl -4.951 -11.891 -1.112
Tl -7.229 -16.894 -1.677
Tl -6.086 -8.708 -2.027
Tl -6.923 -3.339 -3.023
Tl -8.062 -11.526 -2.680
Sb -5.053 -11.003 -4.620
Sb -4.813 -15.052 -0.701
Sb -7.678 -10.413 0.741
Sb -2.121 -11.205 0.194
Sb -0.982 -3.018 -0.149
Sb -3.674 -6.865 -1.044
Cs -1.953 -9.507 -3.266
Cs -0.706 -5.493 -3.097
Cs -4.578 -8.918 2.095
Cs -5.561 -14.665 -4.466
Cs -8.187 -14.072 0.894
Cs -3.333 -4.900 2.262
```

Properties
Total magnetic moment in μB per cell: 0.0
Volume in Å³/atom: 39.52
Fermi-level density of states in states/eV per atom: 0.62
Calculated density in g/cm3: 6.430
Symmetry: P-62m
Polymorph energy (0 for the lowest one) in eV per atom: 0.0821

---

The following is a DFT calculation (PBE) of crystalline Cs3TlSb2 at its relaxed geometry.

```
12
Lattice="-0.210 -0.847 -5.413 -7.598 -7.751 -1.270 -13.094 1.844 -2.558" Properties=species:S:1:pos:R:3 pbc="T T T"
Sb -14.173 -2.387 -7.408
Sb -9.625 -1.300 -4.977
Sb -11.277 -5.453 -4.264
Sb -6.729 -4.367 -1.833
Cs -3.096 -2.523 -2.262
Cs -13.840 -5.943 -6.865
Cs -17.806 -4.231 -6.979
Cs -11.278 0.832 -2.470
Cs -7.062 -0.811 -2.376
Cs -9.624 -7.586 -6.771
Tl -12.346 -2.638 -4.663
Tl -8.556 -4.115 -4.579
```

Properties
Total magnetic moment in μB per cell: 0.0
Volume in Å³/atom: 51.91
Fermi-level density of states in states/eV per atom: 0.67
Calculated density in g/cm3: 4.514
Symmetry: C2/m
Polymorph energy (0 for the lowest one) in eV per atom: 0.1141

---

The following is a DFT calculation (PBE) of crystalline CsTlSb3 at its relaxed geometry.

```
10
Lattice="-3.715 1.679 -2.923 -4.617 -2.057 4.687 0.740 8.934 8.497" Properties=species:S:1:pos:R:3 pbc="T T T"
Tl -4.571 5.453 8.942
Tl -3.021 3.103 1.318
Cs -3.479 1.652 5.370
Cs -4.113 6.905 4.890
Sb -2.612 8.516 8.213
Sb -6.757 8.356 9.084
Sb -4.980 0.041 2.048
Sb -0.835 0.201 1.177
Sb -1.086 4.504 3.968
Sb -6.506 4.053 6.292
```

Properties
Total magnetic moment in μB per cell: 0.0
Volume in Å³/atom: 40.83
Fermi-level density of states in states/eV per atom: 0.38
Calculated density in g/cm3: 5.715
Symmetry: C2/m
Polymorph energy (0 for the lowest one) in eV per atom: 0.0000

---

The following is a DFT calculation (PBE) of crystalline Cs3Tl3Sb2 at its relaxed geometry.

```
16
Lattice="-1.151 4.079 -3.223 -6.363 -4.090 1.494 -3.386 10.615 14.640" Properties=species:S:1:pos:R:3 pbc="T T T"
Sb -6.487 7.417 7.304
Sb -7.412 10.317 11.303
Sb -3.488 0.286 1.608
Sb -4.413 3.186 5.607
Cs -7.692 6.438 10.893
Cs -2.937 6.114 8.784
Cs -7.963 4.489 4.127
Cs -3.208 4.165 2.018
Cs -3.946 9.276 13.145
Cs -6.954 1.327 -0.235
Tl -8.112 8.841 14.084
Tl -5.230 9.375 9.332
Tl -2.788 1.762 -1.173
Tl -5.671 1.228 3.578
Tl -6.638 4.222 7.712
Tl -4.262 6.381 5.198
```

Properties
Total magnetic moment in μB per cell: 0.0
Volume in Å³/atom: 44.30
Fermi-level density of states in states/eV per atom: 0.38
Calculated density in g/cm3: 5.882
Symmetry: Cmcm

---

The following is a DFT calculation (PBE) of crystalline Cs2Tl9Sb4 at its relaxed geometry.

```
15
Lattice="-3.740 3.791 1.510 -0.184 -2.201 -5.075 -12.601 -15.245 7.068" Properties=species:S:1:pos:R:3 pbc="T T T"
Tl -1.744 -2.110 0.978
Tl -13.362 -14.713 3.846
Tl -8.306 -10.050 4.659
Tl -6.300 -7.623 3.534
Tl -4.295 -5.196 2.409
Tl -10.857 -13.135 6.090
Tl -8.102 -4.918 2.426
Tl -3.163 1.058 -0.344
Tl -8.422 -8.737 1.076
Sb -13.865 -11.891 5.659
Sb -10.173 -7.424 3.588
Sb -6.351 -6.231 -0.086
Sb -2.659 -1.764 -2.157
Cs -5.583 -1.871 1.014
Cs -10.941 -11.785 2.489
```

Properties
Total magnetic moment in μB per cell: 0.0
Volume in Å³/atom: 37.15
Fermi-level density of states in states/eV per atom: 0.25
Calculated density in g/cm3: 7.724
Symmetry: P-3m1

---

The following is a DFT calculation (PBE) of crystalline CsTlSb at its relaxed geometry.

```
3
Lattice="-0.165 3.678 1.581 -3.881 -0.534 0.838 3.804 -4.293 5.303" Properties=species:S:1:pos:R:3 pbc="T T T"
Tl 1.087 -1.660 3.975
Sb -1.342 0.531 3.701
Cs 0.013 -0.020 0.047
```

Properties
Total magnetic moment in μB per cell: 0.0
Volume in Å³/atom: 38.96
Fermi-level density of states in states/eV per atom: 0.40
Calculated density in g/cm3: 6.522
Symmetry: I4mm
Polymorph energy (0 for the lowest one) in eV per atom: 0.1063

---

The following is a DFT calculation (PBE) of crystalline Cs3Tl4Sb2 at its relaxed geometry.

```
9
Lattice="4.704 0.000 0.970 1.637 7.592 3.954 0.161 -0.016 11.109" Properties=species:S:1:pos:R:3 pbc="T T T"
Cs 0.000 0.000 0.000
Cs 3.263 6.341 7.959
Cs 3.239 1.235 8.074
Tl 5.093 4.008 10.976
Tl 1.409 3.568 5.057
Tl 4.213 4.979 3.355
Tl 2.290 2.597 12.679
Sb 4.016 1.924 4.307
Sb 2.486 5.652 11.726
```

Properties
Total magnetic moment in μB per cell: 0.0
Volume in Å³/atom: 43.98
Fermi-level density of states in states/eV per atom: 0.36
Calculated density in g/cm3: 6.124
Symmetry: C2/m
Polymorph energy (0 for the lowest one) in eV per atom: 0.0177

---

The following is a DFT calculation (PBE) of crystalline Cs2Tl5Sb2 at its relaxed geometry.

```
18
Lattice="9.686 0.000 0.000 0.000 9.187 0.000 -4.843 -4.593 8.844" Properties=species:S:1:pos:R:3 pbc="T T T"
Tl 5.893 6.527 1.528
Tl -3.793 -2.659 7.316
Tl -0.991 -1.285 2.748
Tl 6.542 0.559 4.422
Tl -1.699 5.152 4.422
Tl 8.636 1.934 1.528
Tl 5.834 3.309 6.096
Tl -0.991 -1.285 6.096
Tl 5.834 3.309 2.748
Tl -1.050 1.934 7.316
Cs 1.678 4.963 6.960
Cs 1.678 4.963 1.884
Cs 3.165 0.370 6.960
Cs 3.165 0.370 1.884
Sb 4.713 5.906 4.422
Sb 4.843 3.770 0.000
Sb 0.130 1.313 4.422
Sb 0.000 8.363 0.000
```

Properties
Total magnetic moment in μB per cell: 0.0
Volume in Å³/atom: 43.72
Fermi-level density of states in states/eV per atom: 0.32
Calculated density in g/cm3: 6.462
Symmetry: Ima2

---

The calculation returns the following formation energy (no corrections) values, one per record and in order: -0.031, -0.019, -0.292, -0.253, -0.210, -0.244, -0.151, -0.300, -0.100, -0.186, -0.235, -0.128 eV/atom.